Density functional theory data (PBE) for an optimized crystal structure of Zr2Ge2Mo.

Calculated values
**ΔH_f (0 K)**: -0.430 eV per atom
**D(E_F)**: 0.33 states/eV/atom
**Raw total energy**: -7.86 eV per atom
**Energy relative to the lowest polymorph listed for this composition**: 247 meV per atom

Cell: 3.695 16.027 6.758 Å, 90.00 90.00 90.00°
Space group Cmc2_1 (No. 36)
Unique sites:
1 Zr 0.000 0.035 0.000 [4 per cell]
2 Zr 0.000 0.185 0.394 [4 per cell]
3 Ge 0.000 0.195 0.824 [4 per cell]
4 Ge 0.000 0.438 0.799 [4 per cell]
5 Mo 0.000 0.396 0.188 [4 per cell]